VASP calculation (PBE-GGA) on a geometry-optimized GaPdPb2Br structure.

a = 5.4723 Å, b = 4.8696 Å, c = 5.4723 Å
α = 90.00°, β = 90.00°, γ = 90.00°
Last column: nearest neighbours and their distance in Å.
Positions (direct):
Ga 0.0000 0.5000 0.0000  2 Pd 2.43
Pd 0.0000 0.0000 0.0000  2 Ga 2.43
Br 0.5000 0.5000 0.5000  8 Pb 3.66, 4 Ga 3.87
Pb 0.5000 0.0000 0.0000  2 Pd 2.74
Pb 0.0000 0.0000 0.5000  2 Pd 2.74

Values from the calculation:
The calculation puts the energy relative to the elements, uncorrected at -181 meV/atom. As for the space group: P4/mmm, No. 123. As for the magnetization: 0.000 Bohr magnetons per cell.

VASP calculation (PBE-GGA) on a geometry-optimized Ga2PtPbBr structure.

a = 4.8487 Å, b = 4.8487 Å, c = 5.6969 Å
α = 90.00°, β = 90.00°, γ = 90.00°
Last column: nearest neighbours and their distance in Å.
Positions (direct):
Pb 0.0000 0.0000 0.5000  2 Pt 2.85
Ga 0.5000 0.0000 0.0000  2 Pt 2.42
Ga 0.0000 0.5000 0.0000  2 Pt 2.42
Br 0.5000 0.5000 0.5000  4 Pb 3.43, 8 Ga 3.74
Pt 0.0000 0.0000 0.0000  4 Ga 2.42

Values from the calculation:
The calculation puts the energy relative to the elements, uncorrected at -409 meV/atom. As for the space group: P4/mmm, No. 123. As for the magnetization: 0.000 Bohr magnetons per cell.

no.,electronic total energy (eV for the cell shown)
1,-18.216
2,-19.521